# 1
Entry from Alexandria via LeMat-Bulk: a relaxed structure of Rb2HfTlMo (GGA-PBE).

Values from the calculation:
DFT formation energy   1.742 eV/atom
Space group   No. 123
Crystal system   tetragonal

abc: 6.7672 5.5571 6.7672
angles: 90.00 90.00 90.00
Last column: magnetic moment on the atom in μB.
Positions (direct):
1 Mo 0.5000 0.5000 0.5000  3.98
2 Rb 0.5000 0.0000 0.0000  0.00
3 Tl 0.0000 0.0000 0.0000  -0.05
4 Rb 0.0000 0.0000 0.5000  0.00
5 Hf 0.0000 0.5000 0.0000  -0.51

---

# 2
Entry from Alexandria via LeMat-Bulk: a relaxed structure of MgSiB2P (GGA-PBE).

Values from the calculation:
Space group   No. 123
E_form (uncorrected)   102.5 kJ/mol of atoms
Crystal system   tetragonal

abc: 3.9159 4.7799 3.9159
angles: 90.00 90.00 90.00
Positions (direct):
1 B 0.5000 0.0000 0.0000
2 B 0.0000 0.0000 0.5000
3 P 0.0000 0.0000 0.0000
4 Mg 0.5000 0.5000 0.5000
5 Si 0.0000 0.5000 0.0000

---

# 3
Entry from Alexandria via LeMat-Bulk: a relaxed structure of TaFe2Re (GGA-PBE).

Values from the calculation:
DFT formation energy   0.046 eV/atom
Space group   No. 47
Crystal system   orthorhombic

abc: 2.7218 3.6797 5.4193
angles: 90.00 90.00 90.00
Last column: magnetic moment on the atom in μB.
Positions (direct):
1 Fe 0.0000 0.0000 0.4829  0.81
2 Fe 0.0000 0.0000 0.0171  0.81
3 Re 0.5000 0.5000 0.2500  -0.10
4 Ta 0.5000 0.5000 0.7500  -0.09

---

# 4
Entry from Alexandria via LeMat-Bulk: a relaxed structure of HfNb2CuCl (GGA-PBE).

Values from the calculation:
Space group   No. 123
E_form (uncorrected)   64.6 kJ/mol of atoms
Crystal system   tetragonal

abc: 4.5143 4.5143 4.7377
angles: 90.00 90.00 90.00
Positions (direct):
1 Cu 0.5000 0.5000 0.5000
2 Nb 0.0000 0.5000 0.0000
3 Nb 0.5000 0.0000 0.0000
4 Hf 0.0000 0.0000 0.5000
5 Cl 0.0000 0.0000 0.0000

---

In order of appearance, density = 4240 2379 14650 7968 kg/m³.
In order of appearance, energy = -3.275 -4.095 -10.260 -6.538 eV/atom.
In order of appearance, N(E_F) = 4.50 2.37 4.61 8.27 states/eV/f.u..